Below is a geometry-optimized CdFe2W structure, with properties calculated at the PBE level.

a = 8.989 Å, b = 8.989 Å, c = 8.989 Å
α = 17.94°, β = 17.94°, γ = 17.94°
Fractional positions:
W 0.510 0.510 0.510
Fe 0.255 0.255 0.255
Fe 0.990 0.990 0.990
Cd 0.745 0.745 0.745

Theoretical density (g/cm³): 11.26
Formation energy from the elements (kJ per mole of atoms): 39.3
Magnetization (μB/f.u.): 4.1